Entry from the Alexandria database: a relaxed structure of ReMoOs2 (PBE-GGA).

Cell: 5.4903 5.4903 5.4903 Å, 150.01 131.40 58.17°
Atoms (fractional coordinates):
Re 0.0000 0.0000 0.0000
Mo 0.5000 0.5000 0.0000
Os 0.2251 0.7251 0.5000
Os 0.7749 0.2749 0.5000

DOS at the Fermi energy = 0.982 states/eV/atom
E = -44.2 eV/cell
M_tot = 0.00 μB per cell
symmetry = Immm (71)
crystal system = orthorhombic
energy above the lowest structure with this stoichiometry = 0.344 eV/atom

Entry from the Alexandria database: a relaxed structure of ReMoOs2 (PBE-GGA).

Cell: 2.7616 2.7616 7.8011 Å, 90.00 90.00 90.00°
Atoms (fractional coordinates):
Re 0.0000 0.0000 0.0000
Mo 0.0000 0.0000 0.5000
Os 0.5000 0.5000 0.2448
Os 0.5000 0.5000 0.7552

DOS at the Fermi energy = 1.068 states/eV/atom
E = -45.5 eV/cell
M_tot = 0.00 μB per cell
symmetry = P4/mmm (123)
crystal system = tetragonal
energy above the lowest structure with this stoichiometry = 0.006 eV/atom

Entry from the Alexandria database: a relaxed structure of Re2MoOs (PBE-GGA).

Cell: 3.1550 3.1550 6.1148 Å, 90.00 90.00 90.00°
Atoms (fractional coordinates):
Re 0.0000 0.0000 0.2424
Re 0.0000 0.0000 0.7576
Mo 0.5000 0.5000 0.0000
Os 0.5000 0.5000 0.5000

DOS at the Fermi energy = 1.206 states/eV/atom
E = -45.5 eV/cell
M_tot = 0.00 μB per cell
symmetry = P4/mmm (123)
crystal system = tetragonal
energy above the lowest structure with this stoichiometry = 0.344 eV/atom

Entry from the Alexandria database: a relaxed structure of Re2MoOs (PBE-GGA).

Cell: 4.8077 4.8077 4.7988 Å, 99.26 99.26 33.50°
Atoms (fractional coordinates):
Re 0.2434 0.2434 0.2401
Re 0.7566 0.7566 0.7599
Mo 0.0000 0.0000 0.5000
Os 0.5000 0.5000 0.0000

DOS at the Fermi energy = 0.733 states/eV/atom
E = -46.6 eV/cell
M_tot = 0.00 μB per cell
symmetry = C2/m (12)
crystal system = monoclinic
energy above the lowest structure with this stoichiometry = 0.064 eV/atom

Entry from the Alexandria database: a relaxed structure of Re2MoOs (PBE-GGA).

Cell: 3.9128 3.9128 3.9316 Å, 90.00 90.00 90.00°
Atoms (fractional coordinates):
Re 0.0000 0.5000 0.0000
Re 0.5000 0.0000 0.0000
Mo 0.0000 0.0000 0.5000
Os 0.5000 0.5000 0.5000

DOS at the Fermi energy = 0.852 states/eV/atom
E = -46.7 eV/cell
M_tot = 0.00 μB per cell
symmetry = P4/mmm (123)
crystal system = tetragonal
energy above the lowest structure with this stoichiometry = 0.053 eV/atom

Entry from the Alexandria database: a relaxed structure of Re2MoOs (PBE-GGA).

Cell: 4.8084 4.8026 3.9162 Å, 66.03 65.88 48.09°
Atoms (fractional coordinates):
Re 0.0000 0.0000 0.0000
Re 0.2500 0.2500 0.2500
Mo 0.7500 0.7500 0.7500
Os 0.5000 0.5000 0.5000

DOS at the Fermi energy = 0.894 states/eV/atom
E = -46.6 eV/cell
M_tot = 0.00 μB per cell
symmetry = F222 (22)
crystal system = orthorhombic
energy above the lowest structure with this stoichiometry = 0.068 eV/atom

Entry from the Alexandria database: a relaxed structure of Re2MoOs (PBE-GGA).

Cell: 6.9721 6.9721 6.9721 Å, 132.32 132.32 69.72°
Atoms (fractional coordinates):
Re 0.1149 0.6250 0.9899
Re 0.3750 0.3649 0.4899
Re 0.6351 0.1250 0.0101
Re 0.8750 0.8851 0.5101
Mo 0.2500 0.7500 0.5000
Mo 0.5000 0.5000 0.0000
Os 0.0000 0.0000 0.0000
Os 0.7500 0.2500 0.5000

DOS at the Fermi energy = 0.692 states/eV/atom
E = -80.9 eV/cell
M_tot = 0.00 μB per cell
symmetry = I-42d (122)
crystal system = tetragonal
energy above the lowest structure with this stoichiometry = 1.615 eV/atom

Entry from the Alexandria database: a relaxed structure of ReMoOs2 (PBE-GGA).

Cell: 9.2411 9.2411 9.2411 Å, 17.10 17.10 17.10°
Atoms (fractional coordinates):
Re 0.0000 0.0000 0.0000
Mo 0.5000 0.5000 0.5000
Os 0.2511 0.2511 0.2511
Os 0.7489 0.7489 0.7489

DOS at the Fermi energy = 0.804 states/eV/atom
E = -45.3 eV/cell
M_tot = 0.00 μB per cell
symmetry = R-3m (166)
crystal system = trigonal
energy above the lowest structure with this stoichiometry = 0.054 eV/atom